Here is a geometry-optimized ReAuO3 structure from OQMD via LeMat-Bulk. Energies are from GGA-PBE.

```
ReAuO3
1.0
-4.042 5.506 2.529
-0.284 6.291 -3.661
-6.111 1.924 -3.466
Au O Re
4 12 4
Direct
0.625 0.625 0.125
0.625 0.125 0.625
0.125 0.625 0.625
0.625 0.625 0.625
0.437 0.063 0.063
0.063 0.437 0.063
0.437 0.437 0.063
0.187 0.813 0.187
0.813 0.813 0.187
0.813 0.187 0.187
0.437 0.063 0.437
0.063 0.437 0.437
0.063 0.063 0.437
0.813 0.187 0.813
0.187 0.187 0.813
0.187 0.813 0.813
0.125 0.125 0.125
0.625 0.125 0.125
0.125 0.625 0.125
0.125 0.125 0.625
```

Output
Symmetry: Fd-3m (227)
Electronic total energy in eV/f.u.: -34.26